Here is a relaxed MgBeZnGa crystal from the Open Quantum Materials Database. Energies are from PBE-GGA.

Computed properties:
* crystal system: cubic
* E_tot: -0.1609 Ry per atom

```
data_MgBeZnGa
_space_group_name_H-M_alt 'P 1'
_space_group_IT_number 1
_cell_length_a 4.407
_cell_length_b 4.407
_cell_length_c 4.407
_cell_angle_alpha 60.00
_cell_angle_beta 60.00
_cell_angle_gamma 60.00
loop_
_space_group_symop_operation_xyz
'x,y,z'
loop_
_atom_site_label
_atom_site_type_symbol
_atom_site_fract_x
_atom_site_fract_y
_atom_site_fract_z
Mg1 Mg 0.000 0.000 0.000
Be1 Be 0.500 0.500 0.500
Zn1 Zn 0.750 0.750 0.750
Ga1 Ga 0.250 0.250 0.250
```

---

Here is a relaxed Y2CoN crystal from the Open Quantum Materials Database. Energies are from PBE-GGA.

Computed properties:
* crystal system: monoclinic
* E_tot: -0.5711 Ry per atom
* spin magnetization: 0.0 μB per formula unit

```
data_Y2CoN
_space_group_name_H-M_alt 'P 1'
_space_group_IT_number 1
_cell_length_a 5.921
_cell_length_b 5.921
_cell_length_c 14.023
_cell_angle_alpha 102.59
_cell_angle_beta 102.59
_cell_angle_gamma 59.91
loop_
_space_group_symop_operation_xyz
'x,y,z'
loop_
_atom_site_label
_atom_site_type_symbol
_atom_site_fract_x
_atom_site_fract_y
_atom_site_fract_z
Y1 Y 0.041 0.877 0.617
Y2 Y 0.123 0.959 0.883
Y3 Y 0.201 0.365 0.097
Y4 Y 0.297 0.469 0.403
Y5 Y 0.365 0.201 0.597
Y6 Y 0.469 0.297 0.903
Y7 Y 0.531 0.703 0.097
Y8 Y 0.635 0.799 0.403
Y9 Y 0.703 0.531 0.597
Y10 Y 0.799 0.635 0.903
Y11 Y 0.877 0.041 0.117
Y12 Y 0.959 0.123 0.383
Co1 Co 0.084 0.402 0.750
Co2 Co 0.402 0.084 0.250
Co3 Co 0.425 0.575 0.250
Co4 Co 0.575 0.425 0.750
Co5 Co 0.598 0.916 0.750
Co6 Co 0.916 0.598 0.250
N1 N 0.000 0.500 0.500
N2 N 0.159 0.681 0.000
N3 N 0.319 0.841 0.500
N4 N 0.500 0.000 0.000
N5 N 0.681 0.159 0.500
N6 N 0.841 0.319 0.000
```

---

Here is a relaxed ErBiNO crystal from the Open Quantum Materials Database. Energies are from PBE-GGA.

Computed properties:
* crystal system: tetragonal
* E_tot: -0.4602 Ry per atom
* spin magnetization: 0.0 μB per formula unit

```
data_ErBiNO
_space_group_name_H-M_alt 'P 1'
_space_group_IT_number 1
_cell_length_a 4.487
_cell_length_b 4.487
_cell_length_c 7.688
_cell_angle_alpha 90.00
_cell_angle_beta 90.00
_cell_angle_gamma 90.00
loop_
_space_group_symop_operation_xyz
'x,y,z'
loop_
_atom_site_label
_atom_site_type_symbol
_atom_site_fract_x
_atom_site_fract_y
_atom_site_fract_z
Er1 Er 0.250 0.750 0.000
Er2 Er 0.750 0.250 0.000
Bi1 Bi 0.250 0.250 0.392
Bi2 Bi 0.750 0.750 0.608
N1 N 0.250 0.250 0.933
N2 N 0.750 0.750 0.067
O1 O 0.250 0.750 0.500
O2 O 0.750 0.250 0.500
```

---

Question: Which of these has the lowest E_tot?
Answer: Y2CoN